ErIr2 | GGA-PBE | relaxed

Calculated values
Calculated total energy   -49.51 eV per cell
Energy of formation from the pure elements   -2.47 eV/f.u.

Cell lengths 5.3396, 5.3396, 5.3396 Å; angles 60.00, 60.00, 60.00 degrees
With the nearest neighbours (Å) after each atom.
Fractional positions:
Er 0.1250 0.1250 0.1250  12 Ir 3.13, 4 Er 3.27
Er 0.8750 0.8750 0.8750  12 Ir 3.13, 4 Er 3.27
Ir 0.0000 0.5000 0.5000  6 Ir 2.67
Ir 0.5000 0.0000 0.5000  6 Ir 2.67
Ir 0.5000 0.5000 0.0000  6 Ir 2.67
Ir 0.5000 0.5000 0.5000  6 Ir 2.67